DFT (GGA-PBE) results for a relaxed structure of MnCu2NiH.

Lattice parameters (Å, degrees): 3.689 3.689 3.730 90.00 90.00 90.00
Last column: magnetic moment on the atom in μB.
Fractional positions:
Mn1 0.000 0.000 0.500  3.28
Ni1 0.500 0.500 0.500  0.64
Cu1 0.000 0.500 0.000  0.05
Cu2 0.500 0.000 0.000  0.05
H1 0.000 0.000 0.000  -0.03

Energy relative to the lowest polymorph listed for this composition in kJ/mol of formula units: 0
Symmetry: No. 123
Fermi-level density of states in states/eV per atom: 0.3293
Total DFT energy (no corrections) in eV/atom: -5.20



DFT (GGA-PBE) results for a relaxed structure of MnCuNi2H.

Lattice parameters (Å, degrees): 3.631 3.631 3.738 90.00 90.00 90.00
Last column: magnetic moment on the atom in μB.
Fractional positions:
Mn1 0.000 0.000 0.500  3.44
Ni1 0.000 0.500 0.000  0.49
Cu1 0.500 0.500 0.500  0.17
Ni2 0.500 0.000 0.000  0.49
H1 0.000 0.000 0.000  -0.01

Energy relative to the lowest polymorph listed for this composition in kJ/mol of formula units: 0
Symmetry: No. 123
Fermi-level density of states in states/eV per atom: 0.3657
Total DFT energy (no corrections) in eV/atom: -5.69



DFT (GGA-PBE) results for a relaxed structure of MnCuNi2H.

Lattice parameters (Å, degrees): 3.684 3.684 3.663 90.00 90.00 90.00
Last column: magnetic moment on the atom in μB.
Fractional positions:
Mn1 0.500 0.500 0.500  3.75
Ni1 0.500 0.000 0.000  0.43
Ni2 0.000 0.500 0.000  0.43
H1 0.000 0.000 0.000  0.01
Cu1 0.000 0.000 0.500  0.14

Energy relative to the lowest polymorph listed for this composition in kJ/mol of formula units: 18
Symmetry: No. 123
Fermi-level density of states in states/eV per atom: 0.2176
Total DFT energy (no corrections) in eV/atom: -5.65